one:
A relaxed PrTm2Sc2 crystal. Source: the Alexandria database, functional GGA-PBE.

a b c (Å): 5.615 11.054 21.404
angles (deg): 90.00 90.00 90.00
Space group Fddd (No. 70, origin choice 2)
One atom of each set of equivalent atoms:
Pr 0.125 0.125 0.125 x8
Tm 0.125 0.294 0.625 x16
Sc 0.000 0.000 0.000 x16

Summary:
Fermi-level density of states in states/eV per atom: 1.825

two:
A relaxed PrTm2Sc2 crystal. Source: the Alexandria database, functional GGA-PBE.

a b c (Å): 5.464 6.745 16.055
angles (deg): 90.00 90.00 90.00
Space group Imma (No. 74)
One atom of each set of equivalent atoms:
Pr 0.000 0.250 0.124 x4
Tm 0.000 0.250 0.499 x4
Tm 0.000 0.250 0.876 x4
Sc 0.000 0.007 0.692 x8

Summary:
Fermi-level density of states in states/eV per atom: 1.706

Stability, highest: two